A PBEsol-optimized structure of UGe3, computed with meta-GGA SCAN.

Cell: 4.138 4.138 4.138 Å, 90.00 90.00 90.00°
Element x y z (fractional)
U 0.000 0.000 0.000
Ge 0.000 0.500 0.500
Ge 0.500 0.000 0.500
Ge 0.500 0.500 0.000

Properties
E, eV per atom: -40.466
E_form, eV per atom: -0.269
Density of states at the Fermi level, states/eV/f.u.: 3.3